# MgTl2V

A relaxed MgTl2V crystal (PBE, Alexandria).

Cell and atoms, written as CIF:
```
data_MgTl2V
_chemical_formula_sum 'Mg2 Tl4 V2'
_space_group_name_H-M_alt 'P 1'
_space_group_IT_number 1
_space_group_name_Hall 'P 1'
_cell_length_a 6.4165
_cell_length_b 6.4165
_cell_length_c 6.4165
_cell_angle_alpha 104.14
_cell_angle_beta 104.14
_cell_angle_gamma 120.76
loop_
_atom_site_label
_atom_site_type_symbol
_atom_site_fract_x
_atom_site_fract_y
_atom_site_fract_z
Mg1 Mg 0.0000 0.0000 0.0000
Mg2 Mg 0.7500 0.2500 0.5000
Tl1 Tl 0.1377 0.1250 0.5127
Tl2 Tl 0.3750 0.8623 0.9873
Tl3 Tl 0.6123 0.6250 0.4873
Tl4 Tl 0.8750 0.3877 0.0127
V1 V 0.2500 0.7500 0.5000
V2 V 0.5000 0.5000 0.0000
```

## Properties
E_form: 0.5722 eV per atom
space group: I-42d
calculated density: 8145 kg/m³
density of states at the Fermi level: 5.47 states/eV/f.u.